#1
DFT (PBE-GGA) results for crystalline BaPr2Se4 at its relaxed geometry.

Structure (POSCAR):
```
BaPr2Se4
1.0
4.389 0.000 0.000
0.000 12.906 0.000
0.000 0.000 15.700
Se Pr Ba
16 8 4
Direct
0.750 0.287 0.322
0.250 0.713 0.678
0.250 0.213 0.822
0.250 0.137 0.521
0.250 0.423 0.582
0.750 0.486 0.782
0.750 0.863 0.479
0.750 0.986 0.718
0.250 0.514 0.218
0.250 0.014 0.282
0.750 0.077 0.082
0.250 0.637 0.979
0.250 0.923 0.918
0.750 0.363 0.021
0.750 0.577 0.418
0.750 0.787 0.178
0.250 0.919 0.106
0.250 0.926 0.604
0.250 0.419 0.394
0.750 0.574 0.104
0.750 0.581 0.606
0.750 0.074 0.396
0.750 0.081 0.894
0.250 0.426 0.896
0.250 0.253 0.160
0.750 0.747 0.840
0.750 0.247 0.660
0.250 0.753 0.340
```

## Properties
SG = No. 62

***

#2
DFT (PBE-GGA) results for crystalline BaPr2Se4 at its relaxed geometry.

Structure (POSCAR):
```
BaPr2Se4
1.0
4.349 0.000 0.000
-2.175 7.132 0.000
0.000 0.000 14.630
Se Ba Pr
8 2 4
Direct
0.768 0.536 0.385
0.768 0.536 0.115
0.946 0.892 0.750
0.054 0.108 0.250
0.500 0.000 0.000
0.232 0.464 0.615
0.500 0.000 0.500
0.232 0.464 0.885
0.611 0.222 0.750
0.389 0.778 0.250
0.866 0.732 0.568
0.866 0.732 0.932
0.134 0.268 0.432
0.134 0.268 0.068
```

## Properties
SG = No. 63

***

List of relative energies, unit kJ/mol of atoms: #1 0.0; #2 1.9

***

#1
DFT (PBE-GGA) results for crystalline BaPrSm2 at its relaxed geometry.

Structure (POSCAR):
```
BaPrSm2
1.0
5.324 0.000 0.000
0.000 5.387 0.000
0.000 0.000 5.387
Ba Pr Sm
1 1 2
Direct
0.500 0.500 0.500
0.500 0.000 0.000
0.000 0.000 0.500
0.000 0.500 0.000
```

## Properties
SG = No. 123

***

#2
DFT (PBE-GGA) results for crystalline BaPrSm2 at its relaxed geometry.

Structure (POSCAR):
```
BaPrSm2
1.0
-0.757 -3.577 -1.038
-0.642 -2.651 2.646
-12.653 0.586 0.246
Pr Sm Ba
1 2 1
Direct
0.500 0.500 0.499
0.089 0.089 0.733
0.244 0.244 0.267
0.666 0.666 0.001
```

## Properties
SG = No. 160

***

#3
DFT (PBE-GGA) results for crystalline BaPrSm2 at its relaxed geometry.

Structure (POSCAR):
```
BaPrSm2
1.0
3.776 0.000 0.000
0.000 3.776 0.000
0.000 0.000 11.025
Ba Sm Pr
1 2 1
Direct
0.500 0.500 0.500
0.000 0.000 0.778
0.000 0.000 0.222
0.500 0.500 0.000
```

## Properties
SG = No. 123

***

List of relative energies, unit kJ/mol of atoms: #1 7.2; #2 1.3; #3 0.0

***

#1
DFT (PBE-GGA) results for crystalline BaPrSm at its relaxed geometry.

Structure (POSCAR):
```
BaPrSm
1.0
3.833 0.000 0.000
0.000 3.833 0.000
-1.916 -1.916 8.484
Ba Sm Pr
1 1 1
Direct
0.001 0.001 0.001
0.681 0.681 0.362
0.318 0.318 0.637
```

## Properties
SG = No. 107

***

#2
DFT (PBE-GGA) results for crystalline BaPrSm at its relaxed geometry.

Structure (POSCAR):
```
BaPrSm
1.0
-3.573 1.231 0.718
1.336 -3.154 1.751
3.312 5.403 7.208
Ba Pr Sm
1 1 1
Direct
0.000 0.000 0.998
0.667 0.333 0.354
0.333 0.667 0.648
```

## Properties
SG = No. 156

***

List of relative energies, unit kJ/mol of atoms: #1 0.0; #2 1.3

***

#1
DFT (PBE-GGA) results for crystalline BaPr2Sn at its relaxed geometry.

Structure (POSCAR):
```
BaPr2Sn
1.0
-4.955 1.305 -1.340
-1.318 0.503 -5.105
-3.640 -5.487 -2.349
Ba Pr Sn
1 2 1
Direct
0.500 0.500 0.500
0.724 0.724 0.828
0.276 0.276 0.172
0.000 0.000 0.000
```

## Properties
SG = No. 166

***

#2
DFT (PBE-GGA) results for crystalline BaPr2Sn at its relaxed geometry.

Structure (POSCAR):
```
BaPr2Sn
1.0
-0.163 -2.069 -4.580
5.023 -1.330 0.423
-1.386 -4.562 2.109
Pr Sn Ba
2 1 1
Direct
0.000 0.000 0.500
0.000 0.500 0.000
0.500 0.500 0.500
0.500 0.000 0.000
```

## Properties
SG = No. 123

***

#3
DFT (PBE-GGA) results for crystalline BaPr2Sn at its relaxed geometry.

Structure (POSCAR):
```
BaPr2Sn
1.0
-0.328 -3.966 -3.521
4.156 -1.146 -3.105
3.540 -5.983 2.400
Pr Sn Ba
2 1 1
Direct
0.050 0.050 0.849
0.279 0.279 0.162
0.677 0.677 0.968
0.493 0.493 0.521
```

## Properties
SG = No. 160

***

List of relative energies, unit kJ/mol of atoms: #1 10.4; #2 0.0; #3 8.7

***

#1
DFT (PBE-GGA) results for crystalline BaSrPr at its relaxed geometry.

Structure (POSCAR):
```
BaSrPr
1.0
-2.300 2.415 -2.349
-3.038 -0.256 2.712
6.399 14.386 8.525
Pr Sr Ba
2 2 2
Direct
0.500 0.000 0.062
0.000 0.500 0.938
0.500 0.000 0.784
0.000 0.500 0.216
0.500 0.000 0.404
0.000 0.500 0.596
```

## Properties
SG = No. 129

***

#2
DFT (PBE-GGA) results for crystalline BaSrPr at its relaxed geometry.

Structure (POSCAR):
```
BaSrPr
1.0
-1.001 -3.478 -1.804
2.307 0.982 -3.173
6.307 -2.741 6.315
Ba Pr Sr
1 1 1
Direct
0.010 0.010 0.020
0.668 0.668 0.337
0.322 0.322 0.644
```

## Properties
SG = No. 107

***

List of relative energies, unit kJ/mol of atoms: #1 0.0; #2 6.9

***

#1
DFT (PBE-GGA) results for crystalline Ba2SrPr at its relaxed geometry.

Structure (POSCAR):
```
Ba2SrPr
1.0
4.170 0.000 0.000
2.085 3.611 0.000
2.085 1.204 13.627
Ba Sr Pr
2 1 1
Direct
0.244 0.244 0.267
0.089 0.089 0.733
0.666 0.666 0.001
0.500 0.500 0.499
```

## Properties
SG = No. 160

***

#2
DFT (PBE-GGA) results for crystalline Ba2SrPr at its relaxed geometry.

Structure (POSCAR):
```
Ba2SrPr
1.0
4.037 0.000 0.000
2.019 3.496 0.000
2.019 1.165 14.630
Sr Ba Pr
1 2 1
Direct
0.500 0.500 0.500
0.916 0.916 0.251
0.084 0.084 0.749
0.000 0.000 0.000
```

## Properties
SG = No. 166

***

List of relative energies, unit kJ/mol of atoms: #1 0.0; #2 16.1

***

#1
DFT (PBE-GGA) results for crystalline BaSr2Pr at its relaxed geometry.

Structure (POSCAR):
```
BaSr2Pr
1.0
-3.987 0.366 -0.931
-2.537 -3.189 0.539
-4.743 3.238 12.509
Ba Sr Pr
1 2 1
Direct
0.667 0.667 0.000
0.090 0.090 0.731
0.244 0.244 0.268
0.500 0.500 0.500
```

## Properties
SG = No. 160

***

#2
DFT (PBE-GGA) results for crystalline BaSr2Pr at its relaxed geometry.

Structure (POSCAR):
```
BaSr2Pr
1.0
-4.233 2.484 -4.335
-5.439 -3.309 -1.531
-5.837 2.187 2.007
Sr Pr Ba
2 1 1
Direct
0.750 0.750 0.750
0.250 0.250 0.250
0.000 0.000 0.000
0.500 0.500 0.500
```

## Properties
SG = No. 225

***

#3
DFT (PBE-GGA) results for crystalline BaSr2Pr at its relaxed geometry.

Structure (POSCAR):
```
BaSr2Pr
1.0
3.982 0.000 0.000
1.991 3.449 0.000
1.991 1.150 14.587
Pr Ba Sr
1 1 2
Direct
0.000 0.000 0.000
0.500 0.500 0.500
0.916 0.916 0.252
0.084 0.084 0.748
```

## Properties
SG = No. 166

***

List of relative energies, unit kJ/mol of atoms: #1 0.0; #2 3.9; #3 16.1

***

#1
DFT (PBE-GGA) results for crystalline BaPr2Te4 at its relaxed geometry.

Structure (POSCAR):
```
BaPr2Te4
1.0
-1.739 0.323 -4.292
12.791 -1.134 -5.269
-1.712 -16.705 -0.564
Pr Te Ba
8 16 4
Direct
0.250 0.926 0.107
0.250 0.424 0.901
0.750 0.574 0.607
0.750 0.074 0.893
0.250 0.924 0.599
0.750 0.576 0.099
0.250 0.426 0.393
0.750 0.076 0.401
0.750 0.363 0.025
0.750 0.789 0.176
0.750 0.481 0.783
0.250 0.519 0.217
0.250 0.916 0.918
0.250 0.137 0.525
0.750 0.084 0.082
0.250 0.211 0.824
0.250 0.416 0.582
0.750 0.289 0.324
0.750 0.981 0.717
0.250 0.637 0.975
0.250 0.711 0.676
0.750 0.584 0.418
0.750 0.863 0.475
0.250 0.019 0.283
0.250 0.256 0.164
0.750 0.744 0.836
0.750 0.244 0.664
0.250 0.756 0.336
```

## Properties
SG = No. 62

***

#2
DFT (PBE-GGA) results for crystalline BaPr2Te4 at its relaxed geometry.

Structure (POSCAR):
```
BaPr2Te4
1.0
-0.642 -0.556 4.544
6.092 -4.564 -2.048
9.883 11.911 2.854
Te Ba Pr
8 2 4
Direct
0.500 0.000 0.500
0.770 0.540 0.117
0.500 0.000 0.000
0.230 0.460 0.883
0.942 0.885 0.750
0.058 0.115 0.250
0.770 0.540 0.383
0.230 0.460 0.617
0.611 0.222 0.750
0.389 0.778 0.250
0.865 0.731 0.567
0.865 0.731 0.933
0.135 0.269 0.067
0.135 0.269 0.433
```

## Properties
SG = No. 63

***

List of relative energies, unit kJ/mol of atoms: #1 0.0; #2 1.6